[1]
## Ce2HoTe2Se2 (PBE-GGA)

Data for a geometry-optimized Ce2HoTe2Se2 structure.

The value obtained for the uncorrected formation energy is -1.36 eV/atom. The energy is -5.61 eV per atom. The total magnetization comes out at 5.57 μB per cell.

The structure belongs to space group I4/mmm (No. 139); the cell edges are 5.302, 5.302 and 16.083 Å and the angles 90.00°, 90.00° and 90.00°. Symmetry generates all atoms from Ce at (0.000, 0.000, 0.118), Ho at (0.000, 0.000, 0.500), Te at (0.000, 0.000, 0.314) and Se at (0.000, 0.500, 0.000).

[2]
## Ce3Ho2ThSe6 (PBE-GGA)

Data for a geometry-optimized Ce3Ho2ThSe6 structure.

The value obtained for the uncorrected formation energy is -1.75 eV/atom. The energy is -6.35 eV per atom. The total magnetization comes out at 5.82 μB per cell.

The structure belongs to space group C2/m (No. 12); the cell edges are 7.188, 12.456 and 7.208 Å and the angles 90.00°, 109.47° and 90.00°. Symmetry generates all atoms from Ce at (0.000, 0.000, 0.000), Ce at (0.000, 0.337, 0.000), Ho at (0.000, 0.167, 0.500), Th at (0.000, 0.500, 0.500), Se at (0.236, 0.000, 0.738) and Se at (0.248, 0.171, 0.257).

[3]
## Ce2HoThSe4 (PBE-GGA)

Data for a geometry-optimized Ce2HoThSe4 structure.

The value obtained for the uncorrected formation energy is -1.73 eV/atom. The energy is -6.45 eV per atom. The total magnetization comes out at 1.69 μB per cell.

The structure belongs to space group P2/m (No. 10); the cell edges are 7.189, 4.150 and 7.261 Å and the angles 90.00°, 109.26° and 90.00°. Symmetry generates all atoms from Ce at (0.000, 0.000, 0.000), Ce at (0.000, 0.500, 0.500), Ho at (0.500, 0.000, 0.500), Th at (0.500, 0.500, 0.000), Se at (0.253, 0.000, 0.743) and Se at (0.259, 0.500, 0.261).

[4]
## CeHo3Th4Se8 (PBE-GGA)

Data for a geometry-optimized CeHo3Th4Se8 structure.

The value obtained for the uncorrected formation energy is -1.64 eV/atom. The energy is -6.47 eV per atom. The total magnetization comes out at 2.18 μB per cell.

The structure belongs to space group R-3m (No. 166, hexagonal axes); the cell edges are 8.1098, 8.1098 and 21.2339 Å and the angles 90.00°, 90.00° and 120.00°. Symmetry generates all atoms from Ce at (0.0000, 0.0000, 0.0000), Ho at (0.0000, 0.5000, 0.0000), Th at (0.0000, 0.0000, 0.5000), Th at (0.0000, 0.5000, 0.5000), Se at (0.0000, 0.0000, 0.2558) and Se at (0.0061, 0.5030, 0.2545).

[5]
## Ce2Ho3ThSe6 (PBE-GGA)

Data for a geometry-optimized Ce2Ho3ThSe6 structure.

The value obtained for the uncorrected formation energy is -1.73 eV/atom. The energy is -6.22 eV per atom. The total magnetization comes out at 4.37 μB per cell.

The structure belongs to space group C2/m (No. 12); the cell edges are 18.215, 4.070 and 8.384 Å and the angles 90.00°, 105.95° and 90.00°. Symmetry generates all atoms from Ce at (0.165, 0.000, 0.330), Ho at (0.000, 0.500, 0.500), Ho at (0.166, 0.000, 0.832), Th at (0.000, 0.500, 0.000), Se at (0.004, 0.000, 0.740), Se at (0.164, 0.500, 0.590) and Se at (0.171, 0.500, 0.074).

[6]
## CeHo3Tl3Se8 (PBE-GGA)

Data for a geometry-optimized CeHo3Tl3Se8 structure.

The value obtained for the uncorrected formation energy is -1.43 eV/atom. The energy is -5.07 eV per atom. The total magnetization comes out at 0.34 μB per cell.

The structure belongs to space group R-3m (No. 166, hexagonal axes); the cell edges are 8.3297, 8.3297 and 23.4078 Å and the angles 90.00°, 90.00° and 120.00°. Symmetry generates all atoms from Ce at (0.0000, 0.0000, 0.0000), Ho at (0.0000, 0.5000, 0.0000), Tl at (0.0000, 0.5000, 0.5000), Se at (0.0000, 0.0000, 0.2657) and Se at (0.0009, 0.5004, 0.2661).